No. 1
# MgCdAgPd | Alexandria via LeMat-Bulk | GGA-PBE | optimized geometry
# ΔE_f: -35.5 kJ per mole of atoms
data_MgCdAgPd
_cell_length_a 4.656
_cell_length_b 4.656
_cell_length_c 4.656
_cell_angle_alpha 60.00
_cell_angle_beta 60.00
_cell_angle_gamma 60.00
_symmetry_space_group_name_H-M 'P 1'
_symmetry_Int_Tables_number 1
loop_
_symmetry_equiv_pos_as_xyz
'x,y,z'
loop_
_atom_site_label
_atom_site_fract_x
_atom_site_fract_y
_atom_site_fract_z
Mg1 0.000 0.000 0.000
Cd1 0.500 0.500 0.500
Ag1 0.750 0.750 0.750
Pd1 0.250 0.250 0.250

No. 2
# CaAs2PH | Alexandria via LeMat-Bulk | GGA-PBE | optimized geometry
# energy: -3.993 eV/atom
data_CaAs2PH
_cell_length_a 4.248
_cell_length_b 4.248
_cell_length_c 4.631
_cell_angle_alpha 90.00
_cell_angle_beta 90.00
_cell_angle_gamma 90.00
_symmetry_space_group_name_H-M 'P 1'
_symmetry_Int_Tables_number 1
loop_
_symmetry_equiv_pos_as_xyz
'x,y,z'
loop_
_atom_site_label
_atom_site_fract_x
_atom_site_fract_y
_atom_site_fract_z
Ca1 0.000 0.000 0.000
As1 0.000 0.500 0.500
As2 0.500 0.000 0.500
P1 0.500 0.500 0.000
H1 0.500 0.500 0.500

No. 3
# BaGaBi2Os | Alexandria via LeMat-Bulk | GGA-PBE | optimized geometry
# ΔE_f: 40.5 kJ per mole of atoms
data_BaGaBi2Os
_cell_length_a 5.307
_cell_length_b 5.307
_cell_length_c 6.061
_cell_angle_alpha 90.00
_cell_angle_beta 90.00
_cell_angle_gamma 90.00
_symmetry_space_group_name_H-M 'P 1'
_symmetry_Int_Tables_number 1
loop_
_symmetry_equiv_pos_as_xyz
'x,y,z'
loop_
_atom_site_label
_atom_site_fract_x
_atom_site_fract_y
_atom_site_fract_z
Ba1 0.000 0.000 0.000
Ga1 0.500 0.500 0.000
Bi1 0.000 0.500 0.500
Bi2 0.500 0.000 0.500
Os1 0.000 0.000 0.500

No. 4
# SrLa5Se8 | Alexandria via LeMat-Bulk | GGA-PBE | optimized geometry
# energy relative to the elements, uncorrected: -2.04 eV/atom
data_SrLa5Se8
_cell_length_a 7.906
_cell_length_b 7.906
_cell_length_c 7.906
_cell_angle_alpha 109.44
_cell_angle_beta 109.44
_cell_angle_gamma 109.53
_symmetry_space_group_name_H-M 'P 1'
_symmetry_Int_Tables_number 1
loop_
_symmetry_equiv_pos_as_xyz
'x,y,z'
loop_
_atom_site_label
_atom_site_fract_x
_atom_site_fract_y
_atom_site_fract_z
Sr1 0.000 0.000 0.000
La1 0.122 0.245 0.623
La2 0.250 0.750 0.500
La3 0.502 0.878 0.124
La4 0.622 0.498 0.377
La5 0.755 0.378 0.876
Se1 0.025 0.622 0.746
Se2 0.229 0.483 0.101
Se3 0.378 0.124 0.403
Se4 0.382 0.128 0.899
Se5 0.517 0.618 0.747
Se6 0.721 0.975 0.597
Se7 0.872 0.771 0.253
Se8 0.876 0.279 0.254

No. 5
# Li3LaTh2Te6 | Alexandria via LeMat-Bulk | GGA-PBE | optimized geometry
# energy relative to the elements, uncorrected: -1.17 eV/atom
data_Li3LaTh2Te6
_cell_length_a 7.597
_cell_length_b 7.597
_cell_length_c 7.656
_cell_angle_alpha 99.53
_cell_angle_beta 99.53
_cell_angle_gamma 120.00
_symmetry_space_group_name_H-M 'P 1'
_symmetry_Int_Tables_number 1
loop_
_symmetry_equiv_pos_as_xyz
'x,y,z'
loop_
_atom_site_label
_atom_site_fract_x
_atom_site_fract_y
_atom_site_fract_z
Li1 0.000 0.000 0.000
Li2 0.335 0.665 0.000
Li3 0.665 0.335 0.000
La1 0.500 0.500 0.500
Th1 0.166 0.834 0.500
Th2 0.834 0.166 0.500
Te1 0.070 0.411 0.231
Te2 0.250 0.250 0.771
Te3 0.411 0.070 0.231
Te4 0.589 0.930 0.769
Te5 0.750 0.750 0.229
Te6 0.930 0.589 0.769

No. 6
# LiInOs2 | Alexandria via LeMat-Bulk | GGA-PBE | optimized geometry
# ΔE_f: 35.3 kJ per mole of atoms
data_LiInOs2
_cell_length_a 2.933
_cell_length_b 4.514
_cell_length_c 4.639
_cell_angle_alpha 90.00
_cell_angle_beta 90.00
_cell_angle_gamma 90.00
_symmetry_space_group_name_H-M 'P 1'
_symmetry_Int_Tables_number 1
loop_
_symmetry_equiv_pos_as_xyz
'x,y,z'
loop_
_atom_site_label
_atom_site_fract_x
_atom_site_fract_y
_atom_site_fract_z
Li1 0.000 0.000 0.000
In1 0.500 0.500 0.000
Os1 0.000 0.500 0.500
Os2 0.500 0.000 0.500

| no. | total moment (μB per formula unit) |
| --- | --- |
| 1 | 0.00 |
| 2 | 0.00 |
| 3 | 0.00 |
| 4 | 0.00 |
| 5 | 0.00 |
| 6 | 0.00 |